Record 1
# CaMn2TcOs (GGA-PBE, relaxed)
# * energy of formation from the pure elements: 8.40 eV per formula unit
# * V: 20.7 A^3/atom
# * calculated density: 7.04 g cm⁻³
# * energy: -6.71 eV/atom
data_CaMn2TcOs
_chemical_formula_sum 'Ca1 Mn2 Tc1 Os1'
_space_group_name_H-M_alt 'P 4/m m m'
_space_group_IT_number 123
_space_group_name_Hall '-P 4 2'
_cell_length_a 4.500
_cell_length_b 4.500
_cell_length_c 5.107
_cell_angle_alpha 90.00
_cell_angle_beta 90.00
_cell_angle_gamma 90.00
loop_
_atom_site_label
_atom_site_type_symbol
_atom_site_fract_x
_atom_site_fract_y
_atom_site_fract_z
Ca1 Ca 0.000 0.000 0.000
Mn1 Mn 0.000 0.500 0.500
Tc1 Tc 0.000 0.000 0.500
Os1 Os 0.500 0.500 0.000

Record 2
# SiBC2 (GGA-PBE, relaxed)
# * V: 12.9 A^3/atom
# * formation energy (no corrections): 0.67 eV per atom
# * calculated density: 2.02 g cm⁻³
# * energy: -6.96 eV/atom
# * offset from the most stable computed form: 430.9 meV/atom
data_SiBC2
_chemical_formula_sum 'Si2 B2 C4'
_space_group_name_H-M_alt 'I m m 2'
_space_group_IT_number 44
_space_group_name_Hall 'I 2 -2'
_cell_length_a 3.082
_cell_length_b 4.351
_cell_length_c 7.708
_cell_angle_alpha 90.00
_cell_angle_beta 90.00
_cell_angle_gamma 90.00
loop_
_atom_site_label
_atom_site_type_symbol
_atom_site_fract_x
_atom_site_fract_y
_atom_site_fract_z
Si1 Si 0.000 0.000 0.000
B1 B 0.000 0.500 0.319
C1 C 0.000 0.344 0.141

Record 3
# MgBOs3 (GGA-PBE, relaxed)
# * energy of formation from the pure elements: 16.35 eV per formula unit
# * V: 17.5 A^3/atom
# * calculated density: 11.52 g cm⁻³
# * energy: -5.12 eV/atom
# * offset from the most stable computed form: 2989.4 meV/atom
data_MgBOs3
_chemical_formula_sum 'Mg1 B1 Os3'
_space_group_name_H-M_alt 'P m -3 m'
_space_group_IT_number 221
_space_group_name_Hall '-P 4 2 3'
_cell_length_a 4.436
_cell_length_b 4.436
_cell_length_c 4.436
_cell_angle_alpha 90.00
_cell_angle_beta 90.00
_cell_angle_gamma 90.00
loop_
_atom_site_label
_atom_site_type_symbol
_atom_site_fract_x
_atom_site_fract_y
_atom_site_fract_z
Mg1 Mg 0.000 0.000 0.000
B1 B 0.500 0.500 0.500
Os1 Os 0.000 0.000 0.500

Record 4
# RbSr2ScHg (GGA-PBE, relaxed)
# * energy of formation from the pure elements: 1.71 eV per formula unit
# * V: 49.4 A^3/atom
# * calculated density: 3.40 g cm⁻³
# * energy: -1.85 eV/atom
data_RbSr2ScHg
_chemical_formula_sum 'Rb1 Sr2 Sc1 Hg1'
_space_group_name_H-M_alt 'P 4/m m m'
_space_group_IT_number 123
_space_group_name_Hall '-P 4 2'
_cell_length_a 6.669
_cell_length_b 6.669
_cell_length_c 5.559
_cell_angle_alpha 90.00
_cell_angle_beta 90.00
_cell_angle_gamma 90.00
loop_
_atom_site_label
_atom_site_type_symbol
_atom_site_fract_x
_atom_site_fract_y
_atom_site_fract_z
Rb1 Rb 0.000 0.000 0.000
Sr1 Sr 0.000 0.500 0.500
Sc1 Sc 0.500 0.500 0.500
Hg1 Hg 0.500 0.500 0.000

Record 5
# LiAlCd4 (GGA-PBE, relaxed)
# * energy of formation from the pure elements: 0.57 eV per formula unit
# * V: 22.6 A^3/atom
# * calculated density: 5.91 g cm⁻³
# * energy: -1.46 eV/atom
data_LiAlCd4
_chemical_formula_sum 'Li4 Al4 Cd16'
_space_group_name_H-M_alt 'F -4 3 m'
_space_group_IT_number 216
_space_group_name_Hall 'F -4 2 3'
_cell_length_a 8.160
_cell_length_b 8.160
_cell_length_c 8.160
_cell_angle_alpha 90.00
_cell_angle_beta 90.00
_cell_angle_gamma 90.00
loop_
_atom_site_label
_atom_site_type_symbol
_atom_site_fract_x
_atom_site_fract_y
_atom_site_fract_z
Li1 Li 0.000 0.000 0.000
Al1 Al 0.250 0.250 0.750
Cd1 Cd 0.125 0.125 0.375

Record 6
# BeMoN2 (GGA-PBE, relaxed)
# * V: 10.2 A^3/atom
# * formation energy (no corrections): 0.46 eV per atom
# * calculated density: 5.44 g cm⁻³
# * energy: -7.34 eV/atom
data_BeMoN2
_chemical_formula_sum 'Be3 Mo3 N6'
_space_group_name_H-M_alt 'R -3 m'
_space_group_IT_number 166
_space_group_name_Hall '-R 3 2"'
_cell_length_a 2.9280
_cell_length_b 2.9280
_cell_length_c 16.4082
_cell_angle_alpha 90.00
_cell_angle_beta 90.00
_cell_angle_gamma 120.00
loop_
_atom_site_label
_atom_site_type_symbol
_atom_site_fract_x
_atom_site_fract_y
_atom_site_fract_z
Be1 Be 0.0000 0.0000 0.0000
Mo1 Mo 0.0000 0.0000 0.5000
N1 N 0.0000 0.0000 0.3855

Record 7
# SmCoGe3Ru (GGA-PBE, relaxed)
# * energy of formation from the pure elements: -1.51 eV per formula unit
# * V: 19.7 A^3/atom
# * calculated density: 7.44 g cm⁻³
# * energy: -6.08 eV/atom
data_SmCoGe3Ru
_chemical_formula_sum 'Sm4 Co4 Ge12 Ru4'
_space_group_name_H-M_alt 'C m c m'
_space_group_IT_number 63
_space_group_name_Hall '-C 2c 2'
_cell_length_a 7.347
_cell_length_b 11.191
_cell_length_c 5.738
_cell_angle_alpha 90.00
_cell_angle_beta 90.00
_cell_angle_gamma 90.00
loop_
_atom_site_label
_atom_site_type_symbol
_atom_site_fract_x
_atom_site_fract_y
_atom_site_fract_z
Sm1 Sm 0.000 0.242 0.250
Co1 Co 0.000 0.041 0.750
Ge1 Ge 0.000 0.236 0.750
Ge2 Ge 0.243 0.000 0.000
Ru1 Ru 0.000 0.441 0.750

Record 8
# Sm2HoTmSc4 (GGA-PBE, relaxed)
# * energy of formation from the pure elements: 0.42 eV per formula unit
# * V: 28.1 A^3/atom
# * calculated density: 6.03 g cm⁻³
# * energy: -5.42 eV/atom
data_Sm2HoTmSc4
_chemical_formula_sum 'Sm2 Ho1 Tm1 Sc4'
_space_group_name_H-M_alt 'P 4/m m m'
_space_group_IT_number 123
_space_group_name_Hall '-P 4 2'
_cell_length_a 4.924
_cell_length_b 4.924
_cell_length_c 9.256
_cell_angle_alpha 90.00
_cell_angle_beta 90.00
_cell_angle_gamma 90.00
loop_
_atom_site_label
_atom_site_type_symbol
_atom_site_fract_x
_atom_site_fract_y
_atom_site_fract_z
Sm1 Sm 0.000 0.000 0.000
Sm2 Sm 0.500 0.500 0.500
Ho1 Ho 0.000 0.000 0.500
Tm1 Tm 0.500 0.500 0.000
Sc1 Sc 0.000 0.500 0.249

- Among the records above, which one has the highest energy?
  LiAlCd4

- Which value of energy does entry 4 give?
  -1.85 eV/atom

- Which formula does entry 3 have?
  MgBOs3